Computed, not measured: crystalline ZrPCl2 at its relaxed geometry at the GGA-PBE level of DFT.

D(E_F): 0.93 states/eV per cell
V: 106.7 Å³/cell
Energy above the most stable polymorph in this dataset: 0 meV/atom
ρ: 3.01 g/cm³

abc: 3.9246 3.5397 7.9163
angles: 90.00 104.02 90.00
Space group Pm (No. 6)
Unique sites:
Zr 0.0000 0.0000 0.0000
P 0.5297 0.5000 0.0608
Cl 0.1551 0.0000 0.3166
Cl 0.8736 0.5000 0.7412

Computed, not measured: crystalline ZrPCl2 at its relaxed geometry at the GGA-PBE level of DFT.

D(E_F): 3.92 states/eV per cell
V: 149.2 Å³/cell
Energy above the most stable polymorph in this dataset: 726 meV/atom
ρ: 4.30 g/cm³

abc: 4.1078 4.1078 8.8406
angles: 90.00 90.00 90.00
Space group I4/mmm (No. 139)
Unique sites:
Zr 0.0000 0.0000 0.0000
P 0.0000 0.0000 0.5000
Cl 0.0000 0.5000 0.2500

Computed, not measured: crystalline Zr2PCl at its relaxed geometry at the GGA-PBE level of DFT.

D(E_F): 0.79 states/eV per cell
V: 281.4 Å³/cell
ρ: 5.88 g/cm³

abc: 6.5528 6.5528 6.5528
angles: 90.00 90.00 90.00
Space group Fm-3m (No. 225)
Unique sites:
Zr 0.2500 0.2500 0.2500
P 0.0000 0.0000 0.0000
Cl 0.0000 0.0000 0.5000

Computed, not measured: crystalline ZrPCl at its relaxed geometry at the GGA-PBE level of DFT.

D(E_F): 0.00 states/eV per cell
V: 79.6 Å³/cell
Energy above the most stable polymorph in this dataset: 233 meV/atom
ρ: 3.29 g/cm³

abc: 3.7208 3.7208 6.6405
angles: 90.00 90.00 120.00
Space group P3m1 (No. 156)
Unique sites:
Zr 0.0000 0.0000 0.0000
P 0.3333 0.6667 0.8006
Cl 0.6667 0.3333 0.2600

Computed, not measured: crystalline ZrP2Cl at its relaxed geometry at the GGA-PBE level of DFT.

D(E_F): 4.73 states/eV per cell
V: 139.8 Å³/cell
Energy above the most stable polymorph in this dataset: 850 meV/atom
ρ: 4.48 g/cm³

abc: 4.1190 4.1190 8.2425
angles: 90.00 90.00 90.00
Space group I-4m2 (No. 119)
Unique sites:
Zr 0.0000 0.0000 0.0000
P 0.0000 0.0000 0.5000
P 0.0000 0.5000 0.2500
Cl 0.0000 0.5000 0.7500

Computed, not measured: crystalline ZrP2Cl at its relaxed geometry at the GGA-PBE level of DFT.

D(E_F): 2.52 states/eV per cell
V: 213.0 Å³/cell
Energy above the most stable polymorph in this dataset: 268 meV/atom
ρ: 2.94 g/cm³

abc: 3.2538 4.9438 13.2408
angles: 90.00 90.00 90.00
Space group Imm2 (No. 44)
Unique sites:
Zr 0.0000 0.0000 0.0000
P 0.0000 0.0000 0.4388
P 0.0000 0.5000 0.0567
Cl 0.0000 0.5000 0.6516

Computed, not measured: crystalline PaCl4 at its relaxed geometry at the GGA-PBE level of DFT.

D(E_F): 17.35 states/eV per cell
V: 552.9 Å³/cell
Energy above the most stable polymorph in this dataset: 0 meV/atom
ρ: 4.48 g/cm³

abc: 8.4250 8.4250 7.7891
angles: 90.00 90.00 90.00
Space group I4_1/amd (No. 141, origin choice 2)
Unique sites:
Pa 0.0000 0.2500 0.3750
Cl 0.0000 0.0623 0.6924

Computed, not measured: crystalline PaCl5 at its relaxed geometry at the GGA-PBE level of DFT.

V: 337.9 Å³/cell
Energy above the most stable polymorph in this dataset: 197 meV/atom
ρ: 4.01 g/cm³

abc: 9.6456 4.1766 8.3887
angles: 90.00 90.00 90.00
Space group Pmma (No. 51)
Unique sites:
Pa 0.2500 0.0000 0.1777
Cl 0.0000 0.0000 0.0000
Cl 0.0794 0.5000 0.2758
Cl 0.2500 0.0000 0.4793
Cl 0.2500 0.5000 0.9524

Computed, not measured: crystalline PaCl4 at its relaxed geometry at the GGA-PBE level of DFT.

D(E_F): 10.31 states/eV per cell
V: 151.1 Å³/cell
Energy above the most stable polymorph in this dataset: 484 meV/atom
ρ: 4.10 g/cm³

abc: 5.3258 5.3258 5.3258
angles: 90.00 90.00 90.00
Space group Pm-3m (No. 221)
Unique sites:
Pa 0.0000 0.0000 0.0000
Cl 0.0000 0.0000 0.5000
Cl 0.5000 0.5000 0.5000

Computed, not measured: crystalline PaCl5 at its relaxed geometry at the GGA-PBE level of DFT.

D(E_F): 0.00 states/eV per cell
V: 879.1 Å³/cell
Energy above the most stable polymorph in this dataset: 0 meV/atom
ρ: 3.08 g/cm³

abc: 8.6997 12.3149 8.4857
angles: 90.00 104.76 90.00
Space group C2/c (No. 15)
Unique sites:
Pa 0.0000 0.0664 0.2500
Cl 0.0000 0.2701 0.2500
Cl 0.0017 0.1208 0.9364
Cl 0.2046 0.4420 0.6723

Computed, not measured: crystalline PaCl5 at its relaxed geometry at the GGA-PBE level of DFT.

D(E_F): 0.00 states/eV per cell
V: 471.4 Å³/cell
Energy above the most stable polymorph in this dataset: 20 meV/atom
ρ: 2.88 g/cm³

abc: 9.3063 9.3063 5.4431
angles: 90.00 90.00 90.00
Space group I4/m (No. 87)
Unique sites:
Pa 0.0000 0.0000 0.0000
Cl 0.0000 0.0000 0.5000
Cl 0.0630 0.2612 0.0000

Computed, not measured: crystalline Pa4Cl at its relaxed geometry at the GGA-PBE level of DFT.

D(E_F): 11.02 states/eV per cell
V: 134.0 Å³/cell
ρ: 11.89 g/cm³

abc: 5.1168 5.1168 5.1168
angles: 90.00 90.00 90.00
Space group Pm-3m (No. 221)
Unique sites:
Pa 0.0000 0.0000 0.0000
Pa 0.0000 0.5000 0.5000
Cl 0.5000 0.5000 0.5000

no.,raw formation energy (meV per atom),final energy (eV/atom)
1,-1033,-5.446
2,-307,-4.720
3,-905,-6.994
4,-1105,-6.374
5,-4,-5.308
6,-587,-5.891
7,-1852,-5.228
8,-1640,-4.762
9,-1368,-4.744
10,-1837,-4.959
11,-1817,-4.939
12,197,-7.769